[1]
Computed, not measured: a relaxed Ta2Pb crystal at the GGA-PBEsol level of DFT.

Calculated values
space-group type: No. 164
formation enthalpy at 0 K: 0.556 eV/atom

Lattice parameters (Å, degrees): 3.0285 3.0285 7.5087 90.00 90.00 120.00
With the nearest neighbours (Å) after each atom.
Element x y z (fractional)
Ta 0.3333 0.6667 0.3368  9 Ta 3.01-3.03, 3 Pb 3.07
Ta 0.6667 0.3333 0.6632  9 Ta 3.01-3.03, 3 Pb 3.07
Pb 0.0000 0.0000 0.0000  6 Pb 3.03, 6 Ta 3.07

***

[2]
Computed, not measured: a relaxed Ta3Pb crystal at the GGA-PBEsol level of DFT.

Calculated values
space-group type: No. 65
formation enthalpy at 0 K: 0.247 eV/atom

Lattice parameters (Å, degrees): 2.9940 2.9940 9.1940 90.00 90.00 110.78
With the nearest neighbours (Å) after each atom.
Element x y z (fractional)
Ta 0.0000 0.0000 0.0000  8 Ta 2.76-2.99
Ta 0.5000 0.5000 0.2358  6 Ta 2.76-2.99, 2 Pb 2.97
Ta 0.5000 0.5000 0.7642  6 Ta 2.76-2.99, 2 Pb 2.97
Pb 0.0000 0.0000 0.5000  4 Ta 2.97, 4 Pb 2.99